1.
Computed, not measured: a geometry-optimized Y2SbTePd structure at the PBE level of DFT.

extended XYZ file:
```
5
Lattice="5.590 0.000 0.000 0.000 5.590 0.000 0.000 0.000 4.837" Properties=species:S:1:pos:R:3 pbc="T T T"
Y 0.000 2.795 0.000
Y 2.795 0.000 0.000
Sb 0.000 0.000 2.419
Te 2.795 2.795 2.419
Pd 2.795 2.795 0.000
```

Results
DOS(E_F)   4.37 states/eV/f.u.
M_tot   0.000 μB per atom
Formation energy without anion corrections   -0.38 eV/atom


2.
Computed, not measured: a geometry-optimized LiAl2Rh structure at the PBE level of DFT.

extended XYZ file:
```
12
Lattice="4.170 0.000 0.000 -2.085 3.612 0.000 0.000 0.000 13.103" Properties=species:S:1:pos:R:3 pbc="T T T"
Li 0.000 0.000 0.000
Li 0.000 2.408 8.735
Li 2.085 1.204 4.368
Al 0.000 0.000 2.837
Al 0.000 0.000 5.738
Al 0.000 2.408 1.370
Al 0.000 2.408 11.573
Al 2.085 1.204 7.205
Al 2.085 1.204 10.105
Rh 0.000 0.000 10.500
Rh 0.000 2.408 6.133
Rh 2.085 1.204 1.765
```

Results
DOS(E_F)   1.75 states/eV/f.u.
M_tot   0.000 μB per atom
Energy of formation from the pure elements   -418 meV/atom


3.
Computed, not measured: a geometry-optimized KNdBeO3 structure at the PBE level of DFT.

extended XYZ file:
```
12
Lattice="7.451 0.000 0.000 0.000 3.517 0.000 -1.894 0.000 7.564" Properties=species:S:1:pos:R:3 pbc="T T T"
K 1.201 0.879 1.328
K 4.356 2.638 6.236
Nd 0.098 0.879 4.932
Nd 5.459 2.638 2.631
Be 1.173 2.638 7.109
Be 4.384 0.879 0.455
O 0.245 2.638 3.361
O -0.262 2.638 6.539
O 1.914 0.879 6.569
O 3.644 2.638 0.995
O 5.820 0.879 1.025
O 5.312 0.879 4.203
```

Results
DOS(E_F)   0.00 states/eV/f.u.
M_tot   0.000 μB per atom
Formation energy without anion corrections   -2.55 eV/atom


4.
Computed, not measured: a geometry-optimized Pm2Nd2Tl structure at the PBE level of DFT.

extended XYZ file:
```
10
Lattice="8.423 0.000 0.000 0.000 8.423 0.000 0.000 0.000 4.743" Properties=species:S:1:pos:R:3 pbc="T T T"
Pm 1.259 2.952 0.000
Pm 2.952 7.164 0.000
Pm 5.471 1.259 0.000
Pm 7.164 5.471 0.000
Nd 1.301 5.512 2.372
Nd 2.911 1.301 2.372
Nd 5.512 7.122 2.372
Nd 7.122 2.911 2.372
Tl 0.000 0.000 0.000
Tl 4.211 4.211 0.000
```

Results
DOS(E_F)   5.67 states/eV/f.u.
M_tot   0.000 μB per atom
Energy of formation from the pure elements   3 meV/atom


5.
Computed, not measured: a geometry-optimized PmSm2In4 structure at the PBE level of DFT.

extended XYZ file:
```
14
Lattice="5.339 0.000 0.000 0.000 5.339 0.000 0.000 0.000 14.913" Properties=species:S:1:pos:R:3 pbc="T T T"
Pm 0.000 0.000 0.000
Pm 2.669 2.669 7.457
Sm 0.000 0.000 3.789
Sm 0.000 0.000 11.124
Sm 2.669 2.669 3.668
Sm 2.669 2.669 11.246
In 0.000 2.669 1.721
In 0.000 2.669 5.735
In 0.000 2.669 9.178
In 0.000 2.669 13.192
In 2.669 0.000 1.721
In 2.669 0.000 5.735
In 2.669 0.000 9.178
In 2.669 0.000 13.192
```

Results
DOS(E_F)   5.90 states/eV/f.u.
M_tot   0.000 μB per atom
Energy of formation from the pure elements   -312 meV/atom


6.
Computed, not measured: a geometry-optimized MgZrCd3 structure at the PBE level of DFT.

extended XYZ file:
```
10
Lattice="4.486 0.000 0.000 0.000 4.510 0.000 -2.238 0.000 10.625" Properties=species:S:1:pos:R:3 pbc="T T T"
Mg 0.002 1.127 1.095
Mg 2.246 3.382 9.530
Zr 0.003 1.127 5.315
Zr 2.245 3.382 5.310
Cd 0.002 3.382 3.136
Cd 0.003 3.382 7.452
Cd 0.003 1.127 9.603
Cd 2.245 3.382 1.022
Cd 2.245 1.127 3.173
Cd 2.246 1.127 7.489
```

Results
DOS(E_F)   1.75 states/eV/f.u.
M_tot   0.000 μB per atom
Energy of formation from the pure elements   -110 meV/atom


7.
Computed, not measured: a geometry-optimized KMn2Pb structure at the PBE level of DFT.

extended XYZ file:
```
12
Lattice="4.749 0.000 0.000 -2.375 4.113 0.000 0.000 0.000 19.098" Properties=species:S:1:pos:R:3 pbc="T T T"
K 0.000 0.000 0.000
K 0.000 2.742 12.732
K 2.375 1.371 6.366
Mn 0.000 0.000 3.591
Mn 0.000 0.000 9.828
Mn 0.000 2.742 3.462
Mn 0.000 2.742 16.323
Mn 2.375 1.371 9.957
Mn 2.375 1.371 16.194
Pb 0.000 0.000 15.373
Pb 0.000 2.742 9.007
Pb 2.375 1.371 2.641
```

Results
DOS(E_F)   5.23 states/eV/f.u.
M_tot   1.994 μB per atom
Energy of formation from the pure elements   556 meV/atom


8.
Computed, not measured: a geometry-optimized LiLa2Cd2 structure at the PBE level of DFT.

extended XYZ file:
```
10
Lattice="7.723 -3.327 0.000 7.723 3.327 0.000 -1.130 0.000 5.395" Properties=species:S:1:pos:R:3 pbc="T T T"
Li 6.876 2.208 4.046
Li 7.441 -2.208 1.349
La 5.620 0.906 0.893
La 9.262 0.906 1.805
La 5.055 -0.906 3.590
La 8.697 -0.906 4.502
Cd 2.379 0.748 2.006
Cd 1.814 -0.748 4.704
Cd 12.502 0.748 0.691
Cd 11.937 -0.748 3.388
```

Results
DOS(E_F)   3.38 states/eV/f.u.
M_tot   0.000 μB per atom
Energy of formation from the pure elements   -152 meV/atom


9.
Computed, not measured: a geometry-optimized P2IrSe structure at the PBE level of DFT.

extended XYZ file:
```
4
Lattice="4.167 0.000 0.000 0.000 3.788 0.000 -0.518 0.000 4.899" Properties=species:S:1:pos:R:3 pbc="T T T"
P 0.000 0.000 0.000
P 1.374 1.894 0.113
Ir 3.390 1.894 1.252
Se 2.649 0.000 2.780
```

Results
DOS(E_F)   1.29 states/eV/f.u.
M_tot   0.000 μB per atom
Formation energy without anion corrections   -0.04 eV/atom


10.
Computed, not measured: a geometry-optimized Ac5Pb3 structure at the PBE level of DFT.

extended XYZ file:
```
16
Lattice="9.952 0.000 0.000 -4.976 8.619 0.000 0.000 0.000 7.438" Properties=species:S:1:pos:R:3 pbc="T T T"
Ac -1.204 2.085 1.859
Ac -3.773 6.534 5.578
Ac 2.407 0.000 1.859
Ac 1.204 2.085 5.578
Ac 0.000 5.746 0.000
Ac 0.000 5.746 3.719
Ac 4.976 2.873 0.000
Ac 4.976 2.873 3.719
Ac 7.545 0.000 5.578
Ac 3.773 6.534 1.859
Pb -1.963 3.400 5.578
Pb -3.013 5.219 1.859
Pb 3.926 0.000 5.578
Pb 1.963 3.400 1.859
Pb 6.026 0.000 1.859
Pb 3.013 5.219 5.578
```

Results
DOS(E_F)   8.03 states/eV/f.u.
M_tot   0.000 μB per atom
Energy of formation from the pure elements   -489 meV/atom


11.
Computed, not measured: a geometry-optimized La5NdIn4 structure at the PBE level of DFT.

extended XYZ file:
```
10
Lattice="3.688 0.000 0.000 0.000 3.688 0.000 0.000 0.000 23.314" Properties=species:S:1:pos:R:3 pbc="T T T"
La 0.000 0.000 0.000
La 0.000 0.000 4.503
La 0.000 0.000 8.971
La 0.000 0.000 14.343
La 0.000 0.000 18.812
Nd 1.844 1.844 11.657
In 1.844 1.844 2.254
In 1.844 1.844 6.763
In 1.844 1.844 16.551
In 1.844 1.844 21.060
```

Results
DOS(E_F)   9.70 states/eV/f.u.
M_tot   0.000 μB per atom
Energy of formation from the pure elements   -398 meV/atom


12.
Computed, not measured: a geometry-optimized MgCu2Se2 structure at the PBE level of DFT.

extended XYZ file:
```
10
Lattice="12.103 0.000 0.000 0.000 3.830 0.000 -0.284 0.000 4.183" Properties=species:S:1:pos:R:3 pbc="T T T"
Mg 0.000 0.000 0.000
Mg 6.052 1.915 0.000
Cu 2.550 1.915 3.359
Cu 3.218 0.000 0.824
Cu 8.601 0.000 3.359
Cu 9.269 1.915 0.824
Se 1.426 1.915 1.181
Se 4.341 0.000 3.002
Se 7.478 0.000 1.181
Se 10.393 1.915 3.002
```

Results
DOS(E_F)   0.42 states/eV/f.u.
M_tot   0.000 μB per atom
Formation energy without anion corrections   -0.42 eV/atom